Computed, not measured: a geometry-optimized UVTcSn structure at the PBE-GGA level of DFT.

Summary:
energy of formation from the pure elements = 1 kJ per mole of atoms
space-group type = F-43m (216)

a b c (Å): 4.719 4.719 4.719
angles (deg): 60.00 60.00 60.00
Last column: magnetic moment on the atom in μB.
Element x y z (fractional)
V 0.000 0.000 0.000  1.88
U 0.750 0.750 0.750  1.95
Sn 0.250 0.250 0.250  -0.04
Tc 0.500 0.500 0.500  -0.12